A plane-wave DFT calculation with PBE was carried out for a relaxed structure of RbPaPd2O6.

Summary:
Formation energy without anion corrections: -13.8 eV per formula unit
Calculated density: 5.3 g/cm³
Total DFT energy (no corrections): -6.436 eV/atom
Total magnetization: 0.88 μB/f.u.
Crystal system: trigonal

Lattice parameters (Å, degrees): 6.102 6.102 6.981 64.08 64.08 60.00
Each line ends with the local moment (μB).
Positions (direct):
Rb 0.000 0.000 0.000  0.00
Pa 0.500 0.500 0.500  0.08
Pd 0.767 0.767 0.699  0.23
Pd 0.233 0.233 0.301  0.23
O 0.113 0.496 0.702  0.04
O 0.690 0.113 0.702  0.04
O 0.504 0.310 0.298  0.04
O 0.887 0.504 0.298  0.04
O 0.310 0.887 0.298  0.04
O 0.496 0.690 0.702  0.04

***

A plane-wave DFT calculation with PBE was carried out for a relaxed structure of RbPa4Pd3O12.

Summary:
Formation energy without anion corrections: -51.1 eV per formula unit
Calculated density: 8.6 g/cm³
Total DFT energy (no corrections): -8.255 eV/atom
Total magnetization: 3.00 μB/f.u.
Crystal system: cubic

Lattice parameters (Å, degrees): 7.256 7.256 7.256 109.47 109.47 109.47
Each line ends with the local moment (μB).
Positions (direct):
Rb 0.000 0.000 0.000  0.00
Pa 0.500 0.000 0.000  0.05
Pa 0.500 0.500 0.500  0.05
Pa 0.000 0.500 0.000  0.05
Pa 0.000 0.000 0.500  0.05
Pd 0.000 0.500 0.500  0.71
Pd 0.500 0.500 0.000  0.71
Pd 0.500 0.000 0.500  0.71
O 0.298 0.820 0.118  0.04
O 0.702 0.180 0.882  0.04
O 0.702 0.820 0.521  0.04
O 0.882 0.702 0.180  0.04
O 0.820 0.118 0.298  0.04
O 0.180 0.479 0.298  0.04
O 0.479 0.298 0.180  0.04
O 0.180 0.882 0.702  0.04
O 0.298 0.180 0.479  0.04
O 0.118 0.298 0.820  0.04
O 0.820 0.521 0.702  0.04
O 0.521 0.702 0.820  0.04

***

A plane-wave DFT calculation with PBE was carried out for a relaxed structure of Rb2PaPd2O6.

Summary:
Formation energy without anion corrections: -17.0 eV per formula unit
Calculated density: 5.5 g/cm³
Total DFT energy (no corrections): -6.234 eV/atom
Total magnetization: 0.93 μB/f.u.
Crystal system: monoclinic

Lattice parameters (Å, degrees): 5.942 6.490 7.626 120.89 90.00 117.24
Each line ends with the local moment (μB).
Positions (direct):
Rb 0.721 0.442 0.130  0.00
Rb 0.279 0.558 0.870  0.00
Pa 0.500 0.000 0.500  0.03
Pd 0.899 0.799 0.718  0.22
Pd 0.101 0.201 0.282  0.22
O 0.732 0.463 0.723  0.05
O 0.233 0.979 0.289  0.06
O 0.254 0.021 0.711  0.06
O 0.767 0.021 0.711  0.06
O 0.746 0.979 0.289  0.06
O 0.268 0.537 0.277  0.05

***

A plane-wave DFT calculation with PBE was carried out for a relaxed structure of RbPaPdO5.

Summary:
Formation energy without anion corrections: -15.9 eV per formula unit
Calculated density: 7.0 g/cm³
Total DFT energy (no corrections): -7.044 eV/atom
Total magnetization: 0.00 μB/f.u.
Crystal system: monoclinic

Lattice parameters (Å, degrees): 7.206 7.206 7.721 120.65 120.65 100.55
Positions (direct):
Rb 0.344 0.656 0.250
Rb 0.656 0.344 0.750
Pa 0.000 0.000 0.500
Pa 0.000 0.000 0.000
Pd 0.689 0.311 0.250
Pd 0.311 0.689 0.750
O 0.090 0.910 0.250
O 0.910 0.090 0.750
O 0.012 0.375 0.302
O 0.988 0.625 0.698
O 0.625 0.988 0.198
O 0.375 0.012 0.802
O 0.748 0.606 0.266
O 0.252 0.394 0.734
O 0.394 0.252 0.234
O 0.606 0.748 0.766

***

A plane-wave DFT calculation with PBE was carried out for a relaxed structure of PaPdRuO6.

Summary:
Formation energy without anion corrections: -15.2 eV per formula unit
Calculated density: 7.9 g/cm³
Total DFT energy (no corrections): -7.652 eV/atom
Total magnetization: 0.98 μB/f.u.
Crystal system: trigonal

Lattice parameters (Å, degrees): 5.296 5.296 9.198 90.00 90.00 120.00
Each line ends with the local moment (μB).
Positions (direct):
Pa 0.333 0.667 0.250  0.06
Pa 0.667 0.333 0.750  0.06
Pd 0.667 0.333 0.250  -0.32
Pd 0.333 0.667 0.750  -0.32
Ru 0.000 0.000 0.000  1.04
Ru 0.000 0.000 0.500  1.04
O 0.687 0.686 0.121  0.02
O 0.999 0.313 0.121  0.02
O 0.313 0.999 0.621  0.02
O 0.001 0.687 0.879  0.02
O 0.314 0.313 0.379  0.02
O 0.999 0.686 0.379  0.02
O 0.686 0.999 0.879  0.02
O 0.687 0.001 0.379  0.02
O 0.001 0.314 0.621  0.02
O 0.314 0.001 0.121  0.02
O 0.686 0.687 0.621  0.02
O 0.313 0.314 0.879  0.02

***

A plane-wave DFT calculation with PBE was carried out for a relaxed structure of PaPd2RuO8.

Summary:
Formation energy without anion corrections: -12.2 eV per formula unit
Calculated density: 7.1 g/cm³
Total DFT energy (no corrections): -6.753 eV/atom
Total magnetization: 1.42 μB/f.u.
Crystal system: tetragonal

Lattice parameters (Å, degrees): 5.896 5.896 5.896 111.26 111.26 105.94
Each line ends with the local moment (μB).
Positions (direct):
Pa 0.250 0.750 0.500  0.08
Pd 0.750 0.250 0.500  -0.17
Pd 0.500 0.500 0.000  -0.10
Ru 0.000 0.000 0.000  1.29
O 0.330 0.030 0.301  0.03
O 0.275 0.446 0.171  0.03
O 0.275 0.104 0.829  0.03
O 0.729 0.030 0.699  0.03
O 0.896 0.725 0.171  0.03
O 0.970 0.271 0.301  0.03
O 0.970 0.670 0.699  0.03
O 0.554 0.725 0.829  0.03